A relaxed ErSe2O6 crystal, computed with PBE.

a = 7.8546 Å, b = 6.6644 Å, c = 6.6644 Å
α = 99.16°, β = 105.12°, γ = 105.12°
Closest atoms and distances in Å follow each position.
Fractional coordinates of all 18 atoms:
Er 0.2500 0.9595 0.0405  8 O 2.27-2.42
Er 0.7500 0.0405 0.9595  8 O 2.27-2.42
Se 0.7336 0.1709 0.4316  3 O 1.69-1.74
Se 0.2664 0.8291 0.5684  3 O 1.69-1.74
Se 0.2336 0.4316 0.1709  3 O 1.69-1.74
Se 0.7664 0.5684 0.8291  3 O 1.69-1.74
O 0.0682 0.1980 0.9999  1 Se 1.74
O 0.2438 0.6142 0.0206  1 Se 1.69
O 0.7438 0.0206 0.6142  1 Se 1.69
O 0.4169 0.3371 0.1945  1 Se 1.70
O 0.9318 0.8020 0.0001  1 Se 1.74
O 0.7562 0.3858 0.9794  1 Se 1.69
O 0.5831 0.6629 0.8055  1 Se 1.70
O 0.5682 0.9999 0.1980  1 Se 1.74
O 0.0831 0.8055 0.6629  1 Se 1.70
O 0.9169 0.1945 0.3371  1 Se 1.70
O 0.4318 0.0001 0.8020  1 Se 1.74
O 0.2562 0.9794 0.3858  1 Se 1.69

Computed properties:
Uncorrected formation energy = -1473.6 meV per atom
Space group = C2/c (15)